## Ac2TbPmNd5 (PBE-GGA)

Data for crystalline Ac2TbPmNd5 at its relaxed geometry.

The structure in extended XYZ format:
```
18
Lattice="-1.816 4.427 -3.405 -7.453 -0.999 7.740 5.594 7.148 6.310" Properties=species:S:1:pos:R:3 pbc="T T T"
Nd -6.468 1.133 4.922
Nd -3.877 6.474 10.485
Nd -1.030 5.717 7.982
Nd -3.211 4.135 2.025
Nd -6.002 7.131 7.408
Nd -3.021 2.880 5.356
Nd 0.268 6.216 2.875
Nd -0.018 8.506 6.005
Nd 0.119 3.996 0.067
Nd -0.192 0.226 0.396
Tb -4.250 4.314 7.876
Tb 2.975 9.327 5.476
Pm -2.966 6.546 5.028
Pm -3.430 0.552 2.547
Ac -6.096 4.821 4.454
Ac -0.186 2.589 3.466
Ac -2.684 9.014 8.087
Ac 2.230 5.510 5.975
```

Final energy: -80.52 eV per cell
Symmetry: Cmc2_1, No. 36
Energy relative to the elements: 0.13 eV per atom

## AcTb2Pm6Nd3 (PBE-GGA)

Data for crystalline AcTb2Pm6Nd3 at its relaxed geometry.

The structure in extended XYZ format:
```
12
Lattice="-0.542 -4.530 4.423 -0.945 -1.413 -6.123 12.168 -0.588 -0.638" Properties=species:S:1:pos:R:3 pbc="T T T"
Pm 2.747 -2.168 1.185
Pm 7.934 -4.362 -3.522
Pm 8.736 -1.939 -0.906
Pm 2.612 -1.120 -2.361
Pm 8.070 -5.410 0.024
Pm 1.946 -4.592 -1.431
Nd 5.207 -2.228 -4.679
Nd 5.341 -3.265 -1.169
Nd 5.475 -4.303 2.342
Tb -0.810 -2.452 -2.606
Tb -0.676 -3.491 0.907
Ac 0.000 0.000 0.000
```

Final energy: -55.91 eV per cell
Symmetry: C2/m, No. 12
Energy relative to the elements: 0.02 eV per atom

## AcTbPmNd (PBE-GGA)

Data for crystalline AcTbPmNd at its relaxed geometry.

The structure in extended XYZ format:
```
4
Lattice="5.260 0.000 0.000 0.000 5.273 0.000 -2.630 -2.637 5.273" Properties=species:S:1:pos:R:3 pbc="T T T"
Tb 2.630 2.637 4.698
Pm 2.630 0.000 2.060
Ac 0.000 0.000 4.700
Nd 0.000 2.637 2.065
```

Final energy: -18.08 eV per cell
Symmetry: Imm2, No. 44
Energy relative to the elements: 0.04 eV per atom

## AcTb2Pm2Nd2 (PBE-GGA)

Data for crystalline AcTb2Pm2Nd2 at its relaxed geometry.

The structure in extended XYZ format:
```
7
Lattice="-0.156 4.443 2.694 -4.265 -4.345 1.904 6.309 -2.598 4.651" Properties=species:S:1:pos:R:3 pbc="T T T"
Pm 1.496 -1.725 2.932
Pm 0.392 -0.775 6.316
Tb 3.749 0.069 5.119
Tb -1.862 -2.569 4.130
Nd 2.895 -3.423 5.813
Nd -1.008 0.922 3.436
Ac 0.000 0.000 0.000
```

Final energy: -32.19 eV per cell
Symmetry: C2/m, No. 12
Energy relative to the elements: 0.03 eV per atom

## Ac2PmNd3Te6 (PBE-GGA)

Data for crystalline Ac2PmNd3Te6 at its relaxed geometry.

The structure in extended XYZ format:
```
12
Lattice="-1.503 -4.073 1.374 4.996 -4.060 -6.570 6.989 2.351 7.067" Properties=species:S:1:pos:R:3 pbc="T T T"
Te 3.834 -3.059 -4.874
Te 8.820 -3.554 -0.889
Te 6.231 -1.446 2.528
Te 6.648 -2.723 6.744
Te 4.251 -4.336 -0.658
Te 1.662 -2.228 2.759
Ac 3.711 -1.241 0.380
Ac 6.771 -4.541 1.490
Nd 4.185 -2.493 4.733
Nd 6.297 -3.289 -2.862
Nd 1.747 -4.066 -2.598
Pm -0.751 -2.036 0.687
```

Final energy: -63.34 eV per cell
Symmetry: C2/m, No. 12
Formation energy (no corrections): -1.435 eV per atom

## AcPm3Nd4Te8 (PBE-GGA)

Data for crystalline AcPm3Nd4Te8 at its relaxed geometry.

The structure in extended XYZ format:
```
16
Lattice="-4.794 2.246 7.336 6.830 -2.658 5.276 1.422 6.110 -6.519" Properties=species:S:1:pos:R:3 pbc="T T T"
Pm 1.729 2.849 3.047
Pm 1.018 -0.206 6.306
Pm 4.126 1.726 -0.621
Nd 0.000 0.000 0.000
Nd -2.397 1.123 3.668
Nd 0.711 3.055 -3.260
Nd -1.686 4.178 0.409
Te 2.997 5.767 2.920
Te 0.460 -0.070 3.174
Te -1.883 1.028 6.759
Te -1.188 4.014 3.573
Te 1.236 2.958 -0.097
Te 5.340 4.670 -0.666
Te 2.221 2.740 6.191
Te 4.645 1.684 2.520
Ac 3.415 -1.329 2.638
```

Final energy: -85.19 eV per cell
Symmetry: R-3m, No. 166
Formation energy (no corrections): -1.414 eV per atom